# 1
Computed, not measured: a relaxed structure of VCuOsO6 at the PBE+U level of DFT.

The structure belongs to space group P-31c (No. 163); the cell edges are 4.9821, 4.9821 and 8.9824 Å and the angles 90.00°, 90.00° and 120.00°. The inequivalent atoms are V at (0.3333, 0.6667, 0.2500), Cu at (0.0000, 0.0000, 0.0000), Os at (0.3333, 0.6667, 0.7500) and O at (0.0048, 0.3546, 0.1316).

Its calculated volume is 193 Å³/cell. The total DFT energy (no corrections) comes out at -6.96 eV per atom.

=====

# 2
Computed, not measured: a relaxed structure of CuOsWO6 at the PBE+U level of DFT.

The structure belongs to space group P-31c (No. 163); the cell edges are 5.0664, 5.0664 and 9.2722 Å and the angles 90.00°, 90.00° and 120.00°. The inequivalent atoms are Cu at (0.0000, 0.0000, 0.0000), Os at (0.3333, 0.6667, 0.2500), W at (0.3333, 0.6667, 0.7500) and O at (0.0058, 0.3485, 0.6314).

Its calculated volume is 206 Å³/cell. The total DFT energy (no corrections) comes out at -6.97 eV per atom.

=====

- Which value of calculated volume does entry 2 give?
  206 Å³/cell

=====

- Which value of calculated volume does entry 2 give?
  206 Å³/cell

=====

- Which of these has the highest total DFT energy (no corrections)?
  VCuOsO6

=====

Repeat the second record exactly.
Computed, not measured: a relaxed structure of CuOsWO6 at the PBE+U level of DFT.

The structure belongs to space group P-31c (No. 163); the cell edges are 5.0664, 5.0664 and 9.2722 Å and the angles 90.00°, 90.00° and 120.00°. The inequivalent atoms are Cu at (0.0000, 0.0000, 0.0000), Os at (0.3333, 0.6667, 0.2500), W at (0.3333, 0.6667, 0.7500) and O at (0.0058, 0.3485, 0.6314).

Its calculated volume is 206 Å³/cell. The total DFT energy (no corrections) comes out at -6.97 eV per atom.